Material: BaSb2Pb
Method: DFT, PBEsol
State: relaxed

Lattice parameters (Å, degrees): 4.236 4.236 7.036 90.00 90.00 90.00
Atoms (fractional coordinates):
Ba 0.000 0.000 0.000
Sb 0.000 0.000 0.490
Sb 0.500 0.500 0.272
Pb 0.500 0.500 0.690

Total magnetization (μB/cell): 0.0
Uncorrected formation energy (eV per formula unit): -1.31
N(E_F) (states/eV/f.u.): 2.27

***

Material: Y2RuPt
Method: DFT, PBEsol
State: relaxed

Lattice parameters (Å, degrees): 3.828 3.828 5.769 90.00 90.00 90.00
Atoms (fractional coordinates):
Y 0.000 0.000 0.000
Y 0.500 0.500 0.385
Ru 0.500 0.500 0.870
Pt 0.000 0.000 0.514

Total magnetization (μB/cell): 0.0
N(E_F) (states/eV/f.u.): 2.14
Total energy (eV per atom): -8.088

***

Material: TlNi2Pb
Method: DFT, PBEsol
State: relaxed

Lattice parameters (Å, degrees): 3.926 3.926 17.619 90.00 90.00 120.00
Atoms (fractional coordinates):
Tl 0.000 0.000 0.000
Tl 0.333 0.667 0.667
Tl 0.667 0.333 0.333
Ni 0.000 0.000 0.438
Ni 0.000 0.000 0.756
Ni 0.333 0.667 0.104
Ni 0.333 0.667 0.423
Ni 0.667 0.333 0.090
Ni 0.667 0.333 0.771
Pb 0.000 0.000 0.194
Pb 0.333 0.667 0.860
Pb 0.667 0.333 0.527

Total magnetization (μB/cell): 0.1
N(E_F) (states/eV/f.u.): 3.81
Total energy (eV per atom): -4.487